VASP calculation (PBE-GGA) on a relaxed AcTb2Br crystal.

The space group is R-3m (No. 166, hexagonal axes) and the conventional cell measures 3.6025, 3.6025 and 35.2454 Å, with angles of 90.00, 90.00 and 120.00 degrees. Symmetry generates all atoms from Ac at (0.0000, 0.0000, 0.0000), Tb at (0.0000, 0.0000, 0.1004) and Br at (0.0000, 0.0000, 0.5000).

Its raw total energy is -0.29518 Ry per atom.

VASP calculation (PBE-GGA) on a relaxed AcTbBr crystal.

The space group is Aem2 (No. 39) and the conventional cell measures 17.404, 3.894 and 6.658 Å, with angles of 90.00, 90.00 and 90.00 degrees. Symmetry generates all atoms from Ac at (0.099, 0.250, 0.000), Tb at (0.273, 0.250, 0.332) and Br at (0.384, 0.250, 0.666).

The value obtained for the energy above the most stable polymorph in this dataset is 0.000 eV per atom. Its raw total energy is -0.31160 Ry per atom.

VASP calculation (PBE-GGA) on a relaxed AcTbBr2 crystal.

The space group is R-3m (No. 166, hexagonal axes) and the conventional cell measures 3.7791, 3.7791 and 31.6806 Å, with angles of 90.00, 90.00 and 120.00 degrees. Symmetry generates all atoms from Ac at (0.0000, 0.0000, 0.0000), Tb at (0.0000, 0.0000, 0.5000) and Br at (0.0000, 0.0000, 0.1023).

Its raw total energy is -0.29743 Ry per atom.

VASP calculation (PBE-GGA) on a relaxed AcTbBr crystal.

The space group is P3m1 (No. 156) and the conventional cell measures 3.8736, 3.8736 and 7.9593 Å, with angles of 90.00, 90.00 and 120.00 degrees. Symmetry generates all atoms from Ac at (0.0000, 0.0000, 0.0000), Tb at (0.6667, 0.3333, 0.3703) and Br at (0.3333, 0.6667, 0.6403).

The value obtained for the energy above the most stable polymorph in this dataset is 0.048 eV per atom. Its raw total energy is -0.30809 Ry per atom.

VASP calculation (PBE-GGA) on a relaxed Ac2TbBr crystal.

The space group is R-3m (No. 166, hexagonal axes) and the conventional cell measures 3.9255, 3.9255 and 33.7653 Å, with angles of 90.00, 90.00 and 120.00 degrees. Symmetry generates all atoms from Ac at (0.0000, 0.0000, 0.2439), Tb at (0.0000, 0.0000, 0.0000) and Br at (0.0000, 0.0000, 0.5000).

The value obtained for the energy above the most stable polymorph in this dataset is 0.000 eV per atom. Its raw total energy is -0.30534 Ry per atom.

VASP calculation (PBE-GGA) on a relaxed Ac2TbBr crystal.

The space group is P4/mmm (No. 123) and the conventional cell measures 3.832, 3.832 and 10.116 Å, with angles of 90.00, 90.00 and 90.00 degrees. Symmetry generates all atoms from Ac at (0.000, 0.000, 0.240), Tb at (0.500, 0.500, 0.500) and Br at (0.500, 0.500, 0.000).

The value obtained for the energy above the most stable polymorph in this dataset is 0.047 eV per atom. Its raw total energy is -0.30191 Ry per atom.

VASP calculation (PBE-GGA) on a relaxed Ac4TcBr6 crystal.

The space group is P4_2/nmc (No. 137, origin choice 2) and the conventional cell measures 10.242, 10.242 and 7.608 Å, with angles of 90.00, 90.00 and 90.00 degrees. Symmetry generates all atoms from Ac at (0.017, 0.750, 0.083), Tc at (0.250, 0.750, 0.250), Br at (0.041, 0.541, 0.750) and Br at (0.250, 0.250, 0.165).

Its raw total energy is -0.34335 Ry per atom.

VASP calculation (PBE-GGA) on a relaxed Ac5Tc2Br2 crystal.

The space group is P2_1/c (No. 14) and the conventional cell measures 9.506, 8.441 and 8.468 Å, with angles of 90.00, 116.12 and 90.00 degrees. Symmetry generates all atoms from Ac at (0.000, 0.000, 0.000), Ac at (0.223, 0.155, 0.767), Ac at (0.224, 0.656, 0.953), Tc at (0.000, 0.138, 0.362) and Br at (0.411, 0.001, 0.203).

Its raw total energy is -0.39755 Ry per atom.

VASP calculation (PBE-GGA) on a relaxed Ac3TcBr crystal.

The space group is P2_1/m (No. 11) and the conventional cell measures 9.677, 4.145 and 9.900 Å, with angles of 90.00, 116.50 and 90.00 degrees. Symmetry generates all atoms from Ac at (0.026, 0.250, 0.187), Ac at (0.234, 0.750, 0.559), Ac at (0.377, 0.750, 0.184), Tc at (0.430, 0.250, 0.475) and Br at (0.305, 0.250, 0.875).

Its raw total energy is -0.38883 Ry per atom.

VASP calculation (PBE-GGA) on a relaxed Ac7TcBr12 crystal.

The space group is R-3 (No. 148, hexagonal axes) and the conventional cell measures 16.2585, 16.2585 and 11.6870 Å, with angles of 90.00, 90.00 and 120.00 degrees. Symmetry generates all atoms from Ac at (0.0000, 0.0000, 0.0000), Ac at (0.0333, 0.1638, 0.3585), Tc at (0.0000, 0.0000, 0.5000), Br at (0.0218, 0.5734, 0.1557) and Br at (0.0354, 0.1600, 0.8339).

Its raw total energy is -0.33500 Ry per atom.

VASP calculation (PBE-GGA) on a relaxed Ac5TcBr5 crystal.

The space group is C2/m (No. 12) and the conventional cell measures 13.614, 6.256 and 9.606 Å, with angles of 90.00, 107.33 and 90.00 degrees. Symmetry generates all atoms from Ac at (0.000, 0.000, 0.000), Ac at (0.149, 0.500, 0.287), Ac at (0.162, 0.500, 0.860), Tc at (0.000, 0.500, 0.000), Br at (0.000, 0.500, 0.500), Br at (0.124, 0.000, 0.750) and Br at (0.176, 0.000, 0.369).

Its raw total energy is -0.34552 Ry per atom.

VASP calculation (PBE-GGA) on a relaxed AcTeBr crystal.

The space group is F-43m (No. 216) and the conventional cell measures 7.733, 7.733 and 7.733 Å, with angles of 90.00, 90.00 and 90.00 degrees. Symmetry generates all atoms from Ac at (0.000, 0.000, 0.000), Te at (0.250, 0.250, 0.750) and Br at (0.250, 0.250, 0.250).

The value obtained for the energy above the most stable polymorph in this dataset is 0.005 eV per atom. Its raw total energy is -0.34708 Ry per atom.

VASP calculation (PBE-GGA) on a relaxed AcTe4Br crystal.

The space group is F-43m (No. 216) and the conventional cell measures 9.092, 9.092 and 9.092 Å, with angles of 90.00, 90.00 and 90.00 degrees. Symmetry generates all atoms from Ac at (0.000, 0.000, 0.000), Te at (0.125, 0.125, 0.375) and Br at (0.250, 0.250, 0.750).

Its raw total energy is -0.26342 Ry per atom.

VASP calculation (PBE-GGA) on a relaxed Ac2Te3Br crystal.

The space group is R-3c (No. 167, hexagonal axes) and the conventional cell measures 8.7755, 8.7755 and 21.5962 Å, with angles of 90.00, 90.00 and 120.00 degrees. Symmetry generates all atoms from Ac at (0.0000, 0.0000, 0.1412), Te at (0.0000, 0.2776, 0.2500) and Br at (0.0000, 0.0000, 0.0000).

Its raw total energy is -0.33427 Ry per atom.

VASP calculation (PBE-GGA) on a relaxed Ac3Te3Br crystal.

The space group is R-3 (No. 148, hexagonal axes) and the conventional cell measures 9.8585, 9.8585 and 19.7918 Å, with angles of 90.00, 90.00 and 120.00 degrees. Symmetry generates all atoms from Ac at (0.0076, 0.3679, 0.0786), Te at (0.0024, 0.2960, 0.9124) and Br at (0.0000, 0.0000, 0.3302).

Its raw total energy is -0.35670 Ry per atom.

VASP calculation (PBE-GGA) on a relaxed Ac2Te2Br crystal.

The space group is Immm (No. 71) and the conventional cell measures 4.675, 6.586 and 13.584 Å, with angles of 90.00, 90.00 and 90.00 degrees. Symmetry generates all atoms from Ac at (0.000, 0.000, 0.167), Te at (0.000, 0.500, 0.161) and Br at (0.000, 0.500, 0.500).

Its raw total energy is -0.34996 Ry per atom.

VASP calculation (PBE-GGA) on a relaxed AcTeBr crystal.

The space group is P3m1 (No. 156) and the conventional cell measures 4.8131, 4.8131 and 6.9142 Å, with angles of 90.00, 90.00 and 120.00 degrees. Symmetry generates all atoms from Ac at (0.0000, 0.0000, 0.0000), Te at (0.3333, 0.6667, 0.2400) and Br at (0.6667, 0.3333, 0.7603).

The value obtained for the energy above the most stable polymorph in this dataset is 0.086 eV per atom. Its raw total energy is -0.34109 Ry per atom.

VASP calculation (PBE-GGA) on a relaxed AcTe2Br8 crystal.

The space group is C2/m (No. 12) and the conventional cell measures 14.612, 8.717 and 8.326 Å, with angles of 90.00, 114.44 and 90.00 degrees. Symmetry generates all atoms from Ac at (0.000, 0.000, 0.000), Te at (0.150, 0.000, 0.565), Br at (0.045, 0.219, 0.765), Br at (0.183, 0.500, 0.177) and Br at (0.221, 0.000, 0.320).

Its raw total energy is -0.21353 Ry per atom.

VASP calculation (PBE-GGA) on a relaxed Ac2TeBr2 crystal.

The space group is C2/m (No. 12) and the conventional cell measures 7.974, 4.598 and 11.018 Å, with angles of 90.00, 90.49 and 90.00 degrees. Symmetry generates all atoms from Ac at (0.169, 0.000, 0.171), Te at (0.000, 0.500, 0.000) and Br at (0.162, 0.000, 0.663).

Its raw total energy is -0.33598 Ry per atom.

VASP calculation (PBE-GGA) on a relaxed Ac4Te5Br crystal.

The space group is C2/m (No. 12) and the conventional cell measures 22.042, 4.810 and 8.763 Å, with angles of 90.00, 113.39 and 90.00 degrees. Symmetry generates all atoms from Ac at (0.000, 0.000, 0.247), Ac at (0.218, 0.500, 0.718), Te at (0.000, 0.500, 0.000), Te at (0.163, 0.000, 0.427), Te at (0.163, 0.000, 0.901) and Br at (0.000, 0.500, 0.500).

Its raw total energy is -0.35958 Ry per atom.

Formation energy from raw total energies readings, ordered: -0.256; -0.769; -1.026; -0.721; -0.524; -0.478; -1.323; -0.451; -0.417; -1.598; -1.131; -1.748; -0.526; -1.329; -1.507; -1.527; -1.666; -0.744; -1.630; -1.511 eV per atom